1.
The following is a DFT calculation (PBE) of a relaxed structure of MgCrIr2.

Computed properties:
N(E_F), states/eV/f.u.: 4.53
Total magnetic moment, μB/f.u.: 2.67
ΔH_f (0 K), eV/atom: 0.073
Density, Mg/m³: 12.43

Cell: 2.778 2.778 7.978 Å, 90.00 90.00 90.00°
Each line ends with the local moment (μB).
Fractional coordinates of all 4 atoms:
Mg1 0.000 0.000 0.486  -0.01
Ir1 0.500 0.500 0.238  0.02
Ir2 0.000 0.000 0.996  -0.17
Cr1 0.500 0.500 0.780  2.58

2.
The following is a DFT calculation (PBE) of a relaxed structure of MgCr2Ir.

Computed properties:
N(E_F), states/eV/f.u.: 3.68
Total magnetic moment, μB/f.u.: 0.94
ΔH_f (0 K), eV/atom: 0.037
Density, Mg/m³: 9.31

Cell: 4.324 4.324 4.324 Å, 119.99 119.99 90.02°
Each line ends with the local moment (μB).
Fractional coordinates of all 4 atoms:
Cr1 0.000 0.000 0.000  2.83
Ir1 0.500 0.500 0.000  0.05
Mg1 0.750 0.250 0.500  0.02
Cr2 0.250 0.750 0.500  -2.16